# 1
Material: Th12Ir5Pb3
Method: DFT, PBE
State: relaxed

The structure in POSCAR format:
```
Th12Ir5Pb3
1.0
-8.796 8.796 8.796
8.796 -8.796 8.796
8.796 8.796 -8.796
Th Ir Pb
48 20 12
direct
0.033 0.207 0.121
0.033 0.326 0.912
0.086 0.707 0.674
0.086 0.879 0.412
0.088 0.621 0.414
0.088 0.967 0.674
0.121 0.033 0.207
0.121 0.588 0.914
0.174 0.207 0.586
0.174 0.467 0.588
0.207 0.121 0.033
0.207 0.586 0.174
0.293 0.326 0.914
0.293 0.467 0.379
0.326 0.912 0.033
0.326 0.914 0.293
0.379 0.293 0.467
0.379 0.586 0.912
0.412 0.086 0.879
0.412 0.826 0.533
0.414 0.088 0.621
0.414 0.826 0.793
0.467 0.379 0.293
0.467 0.588 0.174
0.533 0.412 0.826
0.533 0.621 0.707
0.586 0.174 0.207
0.586 0.912 0.379
0.588 0.174 0.467
0.588 0.914 0.121
0.621 0.414 0.088
0.621 0.707 0.533
0.674 0.086 0.707
0.674 0.088 0.967
0.707 0.533 0.621
0.707 0.674 0.086
0.793 0.414 0.826
0.793 0.879 0.967
0.826 0.533 0.412
0.826 0.793 0.414
0.879 0.412 0.086
0.879 0.967 0.793
0.912 0.033 0.326
0.912 0.379 0.586
0.914 0.121 0.588
0.914 0.293 0.326
0.967 0.674 0.088
0.967 0.793 0.879
0.000 0.000 0.000
0.000 0.000 0.500
0.000 0.500 0.000
0.000 0.500 0.500
0.125 0.750 0.875
0.125 0.875 0.250
0.250 0.125 0.875
0.250 0.625 0.375
0.375 0.250 0.625
0.375 0.625 0.750
0.500 0.000 0.000
0.500 0.000 0.500
0.500 0.500 0.000
0.500 0.500 0.500
0.625 0.375 0.250
0.625 0.750 0.375
0.750 0.375 0.625
0.750 0.875 0.125
0.875 0.125 0.750
0.875 0.250 0.125
0.125 0.250 0.375
0.125 0.375 0.750
0.250 0.375 0.125
0.250 0.875 0.625
0.375 0.125 0.250
0.375 0.750 0.125
0.625 0.250 0.875
0.625 0.875 0.750
0.750 0.125 0.375
0.750 0.625 0.875
0.875 0.625 0.250
0.875 0.750 0.625
```

Output
The calculation puts the energy of formation from the pure elements at -401 kJ/mol of formula units.


# 2
Material: BeRu3Au
Method: DFT, PBE
State: relaxed

The structure in POSCAR format:
```
BeRu3Au
1.0
4.865 0.000 0.000
0.000 4.865 0.000
0.000 0.000 4.865
Be Ru Au
1 3 1
direct
0.000 0.000 0.000
0.000 0.500 0.500
0.500 0.000 0.500
0.500 0.500 0.000
0.500 0.500 0.500
```

Output
The calculation puts the energy of formation from the pure elements at 1196 kJ/mol of formula units.


# 3
Material: Nd6DyTh
Method: DFT, PBE
State: relaxed

The structure in POSCAR format:
```
Nd6DyTh
1.0
5.158 0.000 0.000
0.000 5.158 0.000
0.000 0.000 10.321
Nd Dy Th
6 1 1
direct
0.000 0.000 0.000
0.000 0.000 0.500
0.000 0.500 0.248
0.000 0.500 0.752
0.500 0.000 0.248
0.500 0.000 0.752
0.500 0.500 0.500
0.500 0.500 0.000
```

Output
The calculation puts the energy of formation from the pure elements at 31 kJ/mol of formula units.


# 4
Material: Sc3Al4Ni8
Method: DFT, PBE
State: relaxed

The structure in POSCAR format:
```
Sc3Al4Ni8
1.0
0.000 5.918 5.918
5.918 0.000 5.918
5.918 5.918 0.000
Sc Al Ni
6 8 16
direct
0.230 0.230 0.770
0.230 0.770 0.230
0.230 0.770 0.770
0.770 0.230 0.230
0.770 0.230 0.770
0.770 0.770 0.230
0.000 0.000 0.000
0.000 0.000 0.500
0.000 0.500 0.000
0.000 0.500 0.500
0.500 0.000 0.000
0.500 0.000 0.500
0.500 0.500 0.000
0.500 0.500 0.500
0.132 0.623 0.623
0.172 0.172 0.172
0.172 0.172 0.485
0.172 0.485 0.172
0.377 0.377 0.377
0.377 0.377 0.868
0.377 0.868 0.377
0.485 0.172 0.172
0.515 0.828 0.828
0.623 0.132 0.623
0.623 0.623 0.132
0.623 0.623 0.623
0.828 0.515 0.828
0.828 0.828 0.515
0.828 0.828 0.828
0.868 0.377 0.377
```

Output
The calculation puts the energy of formation from the pure elements at -826 kJ/mol of formula units.


# 5
Material: PtAu
Method: DFT, PBE
State: relaxed

The structure in POSCAR format:
```
PtAu
1.0
8.260 0.000 0.000
0.000 8.260 0.000
0.000 0.000 4.232
Pt Au
8 8
direct
0.163 0.163 0.000
0.163 0.837 0.000
0.337 0.337 0.500
0.337 0.663 0.500
0.663 0.337 0.500
0.663 0.663 0.500
0.837 0.163 0.000
0.837 0.837 0.000
0.000 0.316 0.500
0.000 0.684 0.500
0.184 0.500 0.000
0.316 0.000 0.500
0.500 0.184 0.000
0.500 0.816 0.000
0.684 0.000 0.500
0.816 0.500 0.000
```

Output
The calculation puts the energy of formation from the pure elements at 32 kJ/mol of formula units.


# 6
Material: AlAs2W
Method: DFT, PBE
State: relaxed

The structure in POSCAR format:
```
AlAs2W
1.0
3.165 0.000 0.000
0.000 3.165 0.000
0.000 0.000 6.797
Al As W
1 2 1
direct
0.000 0.000 0.000
0.500 0.500 0.280
0.500 0.500 0.720
0.000 0.000 0.500
```

Output
The calculation puts the energy of formation from the pure elements at 54 kJ/mol of formula units.


# 7
Material: Bi2BPd
Method: DFT, PBE
State: relaxed

The structure in POSCAR format:
```
Bi2BPd
1.0
6.115 0.000 0.000
0.000 6.115 0.000
0.000 0.000 10.750
Bi B Pd
8 4 4
direct
0.207 0.250 0.125
0.250 0.707 0.375
0.250 0.793 0.875
0.293 0.250 0.625
0.707 0.750 0.625
0.750 0.207 0.875
0.750 0.293 0.375
0.793 0.750 0.125
0.000 0.000 0.000
0.000 0.500 0.250
0.500 0.000 0.750
0.500 0.500 0.500
0.000 0.000 0.500
0.000 0.500 0.750
0.500 0.000 0.250
0.500 0.500 0.000
```

Output
The calculation puts the energy of formation from the pure elements at 190 kJ/mol of formula units.


# 8
Material: Li3CeGa8
Method: DFT, PBE
State: relaxed

The structure in POSCAR format:
```
Li3CeGa8
1.0
4.362 0.000 0.000
-2.181 3.778 0.000
0.000 0.000 13.309
Li Ce Ga
3 1 8
direct
0.000 0.000 0.000
0.000 0.000 0.235
0.000 0.000 0.765
0.000 0.000 0.500
0.333 0.667 0.120
0.333 0.667 0.356
0.333 0.667 0.644
0.333 0.667 0.880
0.667 0.333 0.120
0.667 0.333 0.356
0.667 0.333 0.644
0.667 0.333 0.880
```

Output
The calculation puts the energy of formation from the pure elements at -398 kJ/mol of formula units.


# 9
Material: LiGaRh2W
Method: DFT, PBE
State: relaxed

The structure in POSCAR format:
```
LiGaRh2W
1.0
4.720 0.000 0.000
0.000 4.720 0.000
0.000 0.000 5.000
Li Ga Rh W
1 1 2 1
direct
0.000 0.000 0.000
0.500 0.500 0.000
0.000 0.500 0.500
0.500 0.000 0.500
0.500 0.500 0.500
```

Output
The calculation puts the energy of formation from the pure elements at 367 kJ/mol of formula units.


# 10
Material: Li3Ga2Pt2
Method: DFT, PBE
State: relaxed

The structure in POSCAR format:
```
Li3Ga2Pt2
1.0
4.083 0.000 0.000
0.000 2.745 0.000
-2.048 0.000 9.545
Li Ga Pt
3 2 2
direct
0.000 0.000 0.000
0.291 0.000 0.583
0.709 0.000 0.417
0.133 0.000 0.266
0.867 0.000 0.734
0.422 0.500 0.844
0.578 0.500 0.156
```

Output
The calculation puts the energy of formation from the pure elements at -302 kJ/mol of formula units.


It is found that the volume values, taken in the order of the records, are 34.028 23.027 34.324 13.818 18.048 17.023 25.122 18.276 22.277 15.283 Å³/atom.